# 1
First-principles (PBE) data for an optimized crystal structure of SrSi3Ag, as listed in the Alexandria database.

Computed properties:
As for the space group: No. 221. The value obtained for the formation energy (no corrections) is 0.55 eV per atom. The calculation puts the energy above the most stable polymorph in this dataset at 0.0 meV/atom.

Geometry as POSCAR:
```
SrSi3Ag
1.0
4.9825 0.0000 0.0000
0.0000 4.9825 0.0000
0.0000 0.0000 4.9825
Sr Si Ag
1 3 1
Direct
0.0000 0.0000 0.0000 Sr
0.0000 0.5000 0.5000 Si
0.5000 0.0000 0.5000 Si
0.5000 0.5000 0.0000 Si
0.5000 0.5000 0.5000 Ag
```


# 2
First-principles (PBE) data for an optimized crystal structure of MnP2Se, as listed in the Alexandria database.

Computed properties:
As for the space group: No. 71. The value obtained for the formation energy (no corrections) is 0.30 eV per atom.

Geometry as POSCAR:
```
MnP2Se
1.0
3.4063 0.0000 0.0000
0.0000 3.4487 0.0000
0.0000 0.0000 14.5141
Mn P Se
2 4 2
Direct
0.0000 0.0000 0.0000 Mn
0.5000 0.5000 0.5000 Mn
0.0000 0.5000 0.2631 P
0.0000 0.5000 0.7369 P
0.5000 0.0000 0.2369 P
0.5000 0.0000 0.7631 P
0.0000 0.0000 0.5000 Se
0.5000 0.5000 0.0000 Se
```


# 3
First-principles (PBE) data for an optimized crystal structure of KRbHg, as listed in the Alexandria database.

Computed properties:
As for the space group: No. 6. The calculation puts the energy above the most stable polymorph in this dataset at 4.8 meV/atom.

Geometry as POSCAR:
```
KRbHg
1.0
7.0949 0.0000 0.0000
0.0000 5.0363 0.0000
-1.8833 0.0000 9.2636
K Rb Hg
2 2 2
Direct
0.0000 0.0000 0.0000 K
0.4552 0.5000 0.8401 K
0.3285 0.5000 0.3417 Rb
0.8720 0.0000 0.5133 Rb
0.5386 0.0000 0.1215 Hg
0.7902 0.5000 0.2038 Hg
```


# 4
First-principles (PBE) data for an optimized crystal structure of LiHfZn14, as listed in the Alexandria database.

Computed properties:
As for the space group: No. 123. Its raw total energy is -30.68 eV per cell.

Geometry as POSCAR:
```
LiHfZn14
1.0
5.7402 0.0000 0.0000
0.0000 5.7402 0.0000
0.0000 0.0000 7.5313
Li Hf Zn
1 1 14
Direct
0.0000 0.0000 0.0000 Li
0.5000 0.5000 0.0000 Hf
0.0000 0.0000 0.5000 Zn
0.0000 0.5000 0.0000 Zn
0.0000 0.5000 0.5000 Zn
0.2471 0.2471 0.2589 Zn
0.2471 0.2471 0.7411 Zn
0.2471 0.7529 0.2589 Zn
0.2471 0.7529 0.7411 Zn
0.5000 0.0000 0.0000 Zn
0.5000 0.0000 0.5000 Zn
0.5000 0.5000 0.5000 Zn
0.7529 0.2471 0.2589 Zn
0.7529 0.2471 0.7411 Zn
0.7529 0.7529 0.2589 Zn
0.7529 0.7529 0.7411 Zn
```


# 5
First-principles (PBE) data for an optimized crystal structure of DyHo9Tm2, as listed in the Alexandria database.

Computed properties:
As for the space group: No. 123. The calculation puts the energy above the most stable polymorph in this dataset at 0.0 meV/atom.

Geometry as POSCAR:
```
DyHo9Tm2
1.0
4.9668 0.0000 0.0000
0.0000 4.9668 0.0000
0.0000 0.0000 14.9044
Dy Ho Tm
1 9 2
Direct
0.0000 0.0000 0.0000 Dy
0.0000 0.5000 0.1675 Ho
0.0000 0.5000 0.5000 Ho
0.0000 0.5000 0.8325 Ho
0.5000 0.0000 0.1675 Ho
0.5000 0.0000 0.5000 Ho
0.5000 0.0000 0.8325 Ho
0.5000 0.5000 0.0000 Ho
0.5000 0.5000 0.3339 Ho
0.5000 0.5000 0.6661 Ho
0.0000 0.0000 0.3337 Tm
0.0000 0.0000 0.6663 Tm
```


# 6
First-principles (PBE) data for an optimized crystal structure of SrMg2AsN, as listed in the Alexandria database.

Computed properties:
As for the space group: No. 123. The value obtained for the formation energy (no corrections) is 0.49 eV per atom.

Geometry as POSCAR:
```
SrMg2AsN
1.0
4.7881 0.0000 0.0000
0.0000 4.7881 0.0000
0.0000 0.0000 5.9865
Sr Mg As N
1 2 1 1
Direct
0.0000 0.0000 0.0000 Sr
0.0000 0.5000 0.5000 Mg
0.5000 0.0000 0.5000 Mg
0.0000 0.0000 0.5000 As
0.5000 0.5000 0.0000 N
```


# 7
First-principles (PBE) data for an optimized crystal structure of KTl2CdHg, as listed in the Alexandria database.

Computed properties:
As for the space group: No. 123. Its raw total energy is -6.69 eV per cell.

Geometry as POSCAR:
```
KTl2CdHg
1.0
5.7617 0.0000 0.0000
0.0000 5.7617 0.0000
0.0000 0.0000 5.6950
K Tl Cd Hg
1 2 1 1
Direct
0.0000 0.0000 0.0000 K
0.0000 0.5000 0.5000 Tl
0.5000 0.0000 0.5000 Tl
0.5000 0.5000 0.5000 Cd
0.5000 0.5000 0.0000 Hg
```


# 8
First-principles (PBE) data for an optimized crystal structure of BaLa2Cr, as listed in the Alexandria database.

Computed properties:
As for the space group: No. 71. The calculation puts the energy above the most stable polymorph in this dataset at 83.0 meV/atom.

Geometry as POSCAR:
```
BaLa2Cr
1.0
3.9114 0.0000 0.0000
0.0000 6.0694 0.0000
0.0000 0.0000 12.1263
Ba La Cr
2 4 2
Direct
0.0000 0.0000 0.0000 Ba
0.5000 0.5000 0.5000 Ba
0.0000 0.5000 0.2069 La
0.0000 0.5000 0.7931 La
0.5000 0.0000 0.2931 La
0.5000 0.0000 0.7069 La
0.0000 0.0000 0.5000 Cr
0.5000 0.5000 0.0000 Cr
```


Number 1: DOS at the Fermi energy 3.12 states/eV per cell. Number 2: DOS at the Fermi energy 4.75 states/eV per cell. Number 3: DOS at the Fermi energy 3.37 states/eV per cell. Number 4: DOS at the Fermi energy 4.07 states/eV per cell. Number 5: DOS at the Fermi energy 17.62 states/eV per cell. Number 6: DOS at the Fermi energy 1.06 states/eV per cell. Number 7: DOS at the Fermi energy 3.33 states/eV per cell. Number 8: DOS at the Fermi energy 10.56 states/eV per cell.